Below is a relaxed Tb15Er4Sc crystal, with properties calculated at the PBE level.

Unit cell a=5.0037 b=5.0037 c=24.9590 alpha=90.00 beta=90.00 gamma=90.00
Fractional positions:
Tb: 0.0000 0.0000 0.0000
Tb: 0.0000 0.0000 0.1977
Tb: 0.0000 0.0000 0.3992
Tb: 0.0000 0.0000 0.6008
Tb: 0.0000 0.0000 0.8023
Tb: 0.0000 0.5000 0.0971
Tb: 0.0000 0.5000 0.2985
Tb: 0.0000 0.5000 0.5000
Tb: 0.0000 0.5000 0.7015
Tb: 0.0000 0.5000 0.9029
Tb: 0.5000 0.0000 0.0971
Tb: 0.5000 0.0000 0.2985
Tb: 0.5000 0.0000 0.5000
Tb: 0.5000 0.0000 0.7015
Tb: 0.5000 0.0000 0.9029
Er: 0.5000 0.5000 0.1980
Er: 0.5000 0.5000 0.3993
Er: 0.5000 0.5000 0.6007
Er: 0.5000 0.5000 0.8020
Sc: 0.5000 0.5000 0.0000

Output
The volume is 31.25 A^3/atom. The value obtained for the energy of formation is 0.02 eV/atom. The total energy is -4.680 eV/atom. As for the density of states at the Fermi level: 26.68 states/eV/f.u. As for the space-group type: P4/mmm, No. 123. The calculation puts the magnetization at 0.000 Bohr magnetons per cell.

***

Below is a relaxed Tb16Er7Sc6 crystal, with properties calculated at the PBE level.

Unit cell a=10.7841 b=10.7841 c=10.7841 alpha=60.00 beta=60.00 gamma=60.00
Fractional positions:
Tb: 0.0575 0.6475 0.6475
Tb: 0.1117 0.1117 0.1117
Tb: 0.1117 0.1117 0.6649
Tb: 0.1117 0.6649 0.1117
Tb: 0.3351 0.8883 0.8883
Tb: 0.3525 0.3525 0.3525
Tb: 0.3525 0.3525 0.9425
Tb: 0.3525 0.9425 0.3525
Tb: 0.6475 0.0575 0.6475
Tb: 0.6475 0.6475 0.0575
Tb: 0.6475 0.6475 0.6475
Tb: 0.6649 0.1117 0.1117
Tb: 0.8883 0.3351 0.8883
Tb: 0.8883 0.8883 0.3351
Tb: 0.8883 0.8883 0.8883
Tb: 0.9425 0.3525 0.3525
Er: 0.0000 0.0000 0.5000
Er: 0.0000 0.5000 0.0000
Er: 0.0000 0.5000 0.5000
Er: 0.5000 0.0000 0.0000
Er: 0.5000 0.0000 0.5000
Er: 0.5000 0.5000 0.0000
Er: 0.5000 0.5000 0.5000
Sc: 0.2779 0.2779 0.7221
Sc: 0.2779 0.7221 0.2779
Sc: 0.2779 0.7221 0.7221
Sc: 0.7221 0.2779 0.2779
Sc: 0.7221 0.2779 0.7221
Sc: 0.7221 0.7221 0.2779

Output
The volume is 30.58 A^3/atom. The value obtained for the energy of formation is 0.18 eV/atom. The total energy is -4.782 eV/atom. As for the density of states at the Fermi level: 56.72 states/eV/f.u. As for the space-group type: Fm-3m, No. 225. The calculation puts the magnetization at 0.003 Bohr magnetons per cell.

***

Below is a relaxed Tb2ErSc3 crystal, with properties calculated at the PBE level.

Unit cell a=8.3707 b=8.3707 c=9.7038 alpha=121.16 beta=121.16 gamma=36.85
Fractional positions:
Tb: 0.0316 0.0316 0.3457
Tb: 0.3015 0.3015 0.6544
Tb: 0.6985 0.6985 0.3456
Tb: 0.9684 0.9684 0.6543
Er: 0.3658 0.3658 0.3465
Er: 0.6342 0.6342 0.6535
Sc: 0.1167 0.1167 0.0980
Sc: 0.2181 0.2181 0.9024
Sc: 0.4497 0.4497 0.0993
Sc: 0.5503 0.5503 0.9007
Sc: 0.7819 0.7819 0.0976
Sc: 0.8833 0.8833 0.9020

Output
The volume is 28.48 A^3/atom. The value obtained for the energy of formation is 0.08 eV/atom. The total energy is -5.391 eV/atom. As for the density of states at the Fermi level: 10.87 states/eV/f.u. The value obtained for the energy above the most stable polymorph in this dataset is 2.2 kJ per mole of atoms. As for the space-group type: C2/m, No. 12. The calculation puts the magnetization at 0.000 Bohr magnetons per cell.

***

Below is a relaxed Tb5ErSc4 crystal, with properties calculated at the PBE level.

Unit cell a=3.4888 b=3.4888 c=23.5095 alpha=90.00 beta=90.00 gamma=90.00
Fractional positions:
Tb: 0.0000 0.0000 0.0000
Tb: 0.0000 0.0000 0.1962
Tb: 0.0000 0.0000 0.3932
Tb: 0.0000 0.0000 0.6068
Tb: 0.0000 0.0000 0.8038
Er: 0.5000 0.5000 0.5000
Sc: 0.5000 0.5000 0.0981
Sc: 0.5000 0.5000 0.2947
Sc: 0.5000 0.5000 0.7053
Sc: 0.5000 0.5000 0.9019

Output
The volume is 28.62 A^3/atom. The value obtained for the energy of formation is 0.05 eV/atom. The total energy is -5.259 eV/atom. As for the density of states at the Fermi level: 15.87 states/eV/f.u. The value obtained for the energy above the most stable polymorph in this dataset is 0.0 kJ per mole of atoms. As for the space-group type: P4/mmm, No. 123. The calculation puts the magnetization at 0.000 Bohr magnetons per cell.

***

Below is a relaxed Tb2Er4Sc crystal, with properties calculated at the PBE level.

Unit cell a=5.4804 b=12.1087 c=13.0150 alpha=90.00 beta=90.00 gamma=90.00
Fractional positions:
Tb: 0.0013 0.0695 0.1549
Tb: 0.0013 0.4305 0.6549
Tb: 0.4987 0.5695 0.1549
Tb: 0.4987 0.9305 0.6549
Tb: 0.5013 0.0695 0.3451
Tb: 0.5013 0.4305 0.8451
Tb: 0.9987 0.5695 0.3451
Tb: 0.9987 0.9305 0.8451
Er: 0.0042 0.1467 0.6797
Er: 0.0039 0.2460 0.9253
Er: 0.0039 0.2540 0.4253
Er: 0.0042 0.3533 0.1797
Er: 0.4958 0.6467 0.6797
Er: 0.4961 0.7460 0.9253
Er: 0.4961 0.7540 0.4253
Er: 0.4958 0.8533 0.1797
Er: 0.5042 0.1467 0.8203
Er: 0.5039 0.2460 0.5747
Er: 0.5039 0.2540 0.0747
Er: 0.5042 0.3533 0.3203
Er: 0.9958 0.6467 0.8203
Er: 0.9961 0.7460 0.5747
Er: 0.9961 0.7540 0.0747
Er: 0.9958 0.8533 0.3203
Sc: 0.0000 0.0000 0.5000
Sc: 0.0000 0.5000 0.0000
Sc: 0.5000 0.0000 0.0000
Sc: 0.5000 0.5000 0.5000

Output
The volume is 30.85 A^3/atom. The value obtained for the energy of formation is 0.18 eV/atom. The total energy is -4.654 eV/atom. As for the density of states at the Fermi level: 10.75 states/eV/f.u. The value obtained for the energy above the most stable polymorph in this dataset is 0.0 kJ per mole of atoms. As for the space-group type: Pbca, No. 61. The calculation puts the magnetization at 0.000 Bohr magnetons per cell.

***

Below is a relaxed Tb2Er8Sc3 crystal, with properties calculated at the PBE level.

Unit cell a=8.4408 b=8.4408 c=6.5139 alpha=97.15 beta=97.15 gamma=61.80
Fractional positions:
Tb: 0.2015 0.2015 0.2815
Tb: 0.7985 0.7985 0.7185
Er: 0.1940 0.1940 0.7868
Er: 0.2081 0.5734 0.5740
Er: 0.4129 0.4129 0.1158
Er: 0.4266 0.7919 0.4260
Er: 0.5734 0.2081 0.5740
Er: 0.5871 0.5871 0.8842
Er: 0.7919 0.4266 0.4260
Er: 0.8060 0.8060 0.2132
Sc: 0.0000 0.0000 0.5000
Sc: 0.1646 0.8354 0.0000
Sc: 0.8354 0.1646 0.0000

Output
The volume is 31.13 A^3/atom. The value obtained for the energy of formation is 0.26 eV/atom. The total energy is -4.721 eV/atom. As for the density of states at the Fermi level: 19.91 states/eV/f.u. The value obtained for the energy above the most stable polymorph in this dataset is 8.1 kJ per mole of atoms. As for the space-group type: C2/m, No. 12. The calculation puts the magnetization at 0.000 Bohr magnetons per cell.

***

Below is a relaxed TbEr2Sc4 crystal, with properties calculated at the PBE level.

Unit cell a=10.6312 b=10.6312 c=5.2322 alpha=90.00 beta=90.00 gamma=160.58
Fractional positions:
Tb: 0.0000 0.0000 0.0000
Er: 0.4262 0.5738 0.5000
Er: 0.5738 0.4262 0.5000
Sc: 0.1971 0.8029 0.5000
Sc: 0.3200 0.6800 0.0000
Sc: 0.6800 0.3200 0.0000
Sc: 0.8029 0.1971 0.5000

Output
The volume is 28.09 A^3/atom. The value obtained for the energy of formation is 0.17 eV/atom. The total energy is -5.412 eV/atom. As for the density of states at the Fermi level: 12.15 states/eV/f.u. The value obtained for the energy above the most stable polymorph in this dataset is 10.2 kJ per mole of atoms. As for the space-group type: Cmmm, No. 65. The calculation puts the magnetization at 0.000 Bohr magnetons per cell.

***

Below is a relaxed Tb5Er12Sc crystal, with properties calculated at the PBE level.

Unit cell a=6.0915 b=6.0915 c=17.2236 alpha=93.38 beta=93.38 gamma=119.98
Fractional positions:
Tb: 0.0000 0.0000 0.0000
Tb: 0.1667 0.8333 0.5000
Tb: 0.3333 0.6667 0.0000
Tb: 0.6667 0.3333 0.0000
Tb: 0.8333 0.1667 0.5000
Er: 0.0566 0.3900 0.1676
Er: 0.1143 0.1143 0.3336
Er: 0.2237 0.5549 0.6664
Er: 0.2763 0.2763 0.8324
Er: 0.3900 0.0566 0.1676
Er: 0.4451 0.7763 0.3336
Er: 0.5549 0.2237 0.6664
Er: 0.6100 0.9434 0.8324
Er: 0.7237 0.7237 0.1676
Er: 0.7763 0.4451 0.3336
Er: 0.8857 0.8857 0.6664
Er: 0.9434 0.6100 0.8324
Sc: 0.5000 0.5000 0.5000

Output
The volume is 30.54 A^3/atom. The value obtained for the energy of formation is 0.01 eV/atom. The total energy is -4.665 eV/atom. As for the density of states at the Fermi level: 23.92 states/eV/f.u. As for the space-group type: C2/m, No. 12. The calculation puts the magnetization at 0.000 Bohr magnetons per cell.

***

Below is a relaxed Tb3Er5Sc3 crystal, with properties calculated at the PBE level.

Unit cell a=10.7668 b=10.7668 c=3.3646 alpha=90.00 beta=90.00 gamma=120.00
Fractional positions:
Tb: 0.0000 0.6550 0.0000
Tb: 0.3450 0.3450 0.0000
Tb: 0.6550 0.0000 0.0000
Er: 0.0000 0.1654 0.0000
Er: 0.1654 0.0000 0.0000
Er: 0.3333 0.6667 0.0000
Er: 0.6667 0.3333 0.0000
Er: 0.8346 0.8346 0.0000
Sc: 0.0000 0.4084 0.5000
Sc: 0.4084 0.0000 0.5000
Sc: 0.5916 0.5916 0.5000

Output
The volume is 30.71 A^3/atom. The value obtained for the energy of formation is 0.36 eV/atom. The total energy is -4.701 eV/atom. As for the density of states at the Fermi level: 19.78 states/eV/f.u. As for the space-group type: P-62m, No. 189. The calculation puts the magnetization at 0.006 Bohr magnetons per cell.

***

Q: What is the formula in the third record?
A: Tb2ErSc3

***

Q: Which formula does entry 2 have?
A: Tb16Er7Sc6

***

Q: What is the formula in the sixth record?
A: Tb2Er8Sc3

***

Q: Which of these has the highest magnetization?
A: Tb3Er5Sc3